[1]
DFT (PBE) results for crystalline CrSi2Tc at its relaxed geometry.

The space group is Immm (No. 71) and the conventional cell measures 3.206, 3.798 and 9.959 Å, with angles of 90.00, 90.00 and 90.00 degrees. The inequivalent atoms are Cr at (0.000, 0.000, 0.000), Si at (0.000, 0.000, 0.249) and Tc at (0.000, 0.000, 0.500).

---

[2]
DFT (PBE) results for crystalline CrSi2Tc at its relaxed geometry.

The space group is Cm (No. 8) and the conventional cell measures 8.663, 2.913 and 4.237 Å, with angles of 90.00, 106.94 and 90.00 degrees. The inequivalent atoms are Cr at (0.000, 0.000, 0.000), Si at (0.003, 0.500, 0.513), Si at (0.256, 0.000, 0.847) and Tc at (0.257, 0.500, 0.355).

---

Ordered formation energy (no corrections) results: 0.637; -0.285; unit eV/atom.